MgCrPO2: optimized geometry, PBE+U.

a = 3.709 Å, b = 3.709 Å, c = 5.154 Å
α = 90.00°, β = 90.00°, γ = 90.00°
Fractional positions:
Mg1 0.000 0.000 0.000
Cr1 0.500 0.500 0.500
P1 0.500 0.500 0.000
O1 0.000 0.500 0.500
O2 0.500 0.000 0.500

Output
- crystal system = tetragonal
- E above lowest polymorph (meV per atom) = 0
- DFT total energy (eV/atom) = -5.6480